(1)
! Zr3NbSi, optimized geometry, DFT GGA-PBE; values from VASP
&SYSTEM
  ibrav = 0, nat = 5, ntyp = 3
/
ATOMIC_SPECIES
Nb 92.91 Nb.upf
Si 28.09 Si.upf
Zr 91.22 Zr.upf
ATOMIC_POSITIONS crystal
Nb 0.500 0.500 0.500
Si 0.000 0.000 0.000
Zr 0.500 0.000 0.000
Zr 0.000 0.000 0.500
Zr 0.000 0.500 0.000
CELL_PARAMETERS angstrom
4.921 0.000 0.000
0.000 4.921 0.000
0.000 0.000 4.921
! - Mass density: 5.50 Mg/m³
! - Crystal system: cubic
! - Formation energy without anion corrections: 0.426 eV/atom
! - Symmetry: Pm-3m
! - Energy relative to the lowest polymorph listed for this composition: 0.000 eV per atom

***

(2)
! LiLaNbPb2, optimized geometry, DFT GGA-PBE; values from VASP
&SYSTEM
  ibrav = 0, nat = 5, ntyp = 4
/
ATOMIC_SPECIES
Nb 92.91 Nb.upf
Pb 207.20 Pb.upf
Li 6.94 Li.upf
La 138.91 La.upf
ATOMIC_POSITIONS crystal
Nb 0.000 0.000 0.000
Pb 0.500 0.000 0.000
Pb 0.000 0.000 0.500
Li 0.500 0.500 0.500
La 0.000 0.500 0.000
CELL_PARAMETERS angstrom
-4.215 -1.203 3.529
-1.451 -4.049 -3.113
3.397 -3.436 2.886
! - Mass density: 6.45 Mg/m³
! - Crystal system: tetragonal
! - Total energy: -0.339 Ry/atom
! - Symmetry: P4/mmm

***

Question: What is the mass density in the first record?
Answer: 5.50 Mg/m³

***

Question: Among the records above, which one has the lowest mass density?
Answer: Zr3NbSi